1.
VASP calculation (PBE) on a geometry-optimized Nd4IrAu3 structure.

Computed properties:
Crystal system ... orthorhombic
Formation energy from the elements ... -6.21 eV per formula unit

abc: 3.911 4.741 11.104
angles: 90.00 90.00 90.00
Space group Pmm2 (No. 25)
Symmetry-distinct sites (fractional):
Nd (0.000, 0.000, 0.000)
Nd (0.000, 0.500, 0.259)
Nd (0.500, 0.000, 0.469)
Nd (0.500, 0.500, 0.761)
Ir (0.500, 0.000, 0.210)
Au (0.000, 0.000, 0.709)
Au (0.000, 0.500, 0.537)
Au (0.500, 0.500, 0.037)

***

2.
VASP calculation (PBE) on a geometry-optimized CaYFe2 structure.

Computed properties:
Crystal system ... tetragonal
Formation energy from the elements ... 3.00 eV per formula unit

abc: 7.582 7.582 5.980
angles: 90.00 90.00 90.00
Space group I-42d (No. 122)
Symmetry-distinct sites (fractional):
Ca (0.000, 0.000, 0.000)
Y (0.000, 0.000, 0.500)
Fe (0.248, 0.750, 0.625)

***

The following DOS at the Fermi energy values (in states/eV/f.u.) correspond, in order, to the records above: 6.07, 8.90.